No. 1
Computed, not measured: Pm2Pr5TmTh after structural relaxation at the PBE-GGA level of DFT.

The structure in CIF format:
```
data_Pm2Pr5TmTh
_chemical_formula_sum 'Pm8 Pr20 Tm4 Th4'
_space_group_name_H-M_alt 'C m c m'
_space_group_IT_number 63
_space_group_name_Hall '-C 2c 2'
_cell_length_a 5.484
_cell_length_b 22.046
_cell_length_c 10.632
_cell_angle_alpha 90.00
_cell_angle_beta 90.00
_cell_angle_gamma 90.00
loop_
_atom_site_label
_atom_site_type_symbol
_atom_site_fract_x
_atom_site_fract_y
_atom_site_fract_z
_atom_site_occupancy
Pm1 Pm 0.000 0.112 0.003 1
Pr1 Pr 0.000 0.001 0.750 1
Pr2 Pr 0.000 0.277 0.559 1
Pr3 Pr 0.000 0.372 0.250 1
Pr4 Pr 0.000 0.500 0.000 1
Tm1 Tm 0.000 0.398 0.750 1
Th1 Th 0.000 0.210 0.250 1
```

**Density of states at the Fermi level**: 1.403 states/eV/atom
**Calculated formation energy**: 133 meV/atom

=====

No. 2
Computed, not measured: Ce2NO after structural relaxation at the PBE-GGA level of DFT.

The structure in CIF format:
```
data_Ce2NO
_chemical_formula_sum 'Ce2 N1 O1'
_space_group_name_H-M_alt 'P 4/m m m'
_space_group_IT_number 123
_space_group_name_Hall '-P 4 2'
_cell_length_a 3.054
_cell_length_b 3.054
_cell_length_c 6.116
_cell_angle_alpha 90.00
_cell_angle_beta 90.00
_cell_angle_gamma 90.00
loop_
_atom_site_label
_atom_site_type_symbol
_atom_site_fract_x
_atom_site_fract_y
_atom_site_fract_z
_atom_site_occupancy
Ce1 Ce 0.000 0.000 0.242 1
N1 N 0.500 0.500 0.000 1
O1 O 0.500 0.500 0.500 1
```

**Density of states at the Fermi level**: 1.943 states/eV/atom
**Energy relative to the lowest polymorph listed for this composition**: 622 meV per atom
**Formation energy from raw total energies**: -1620 meV/atom

=====

No. 3
Computed, not measured: Fe2SiMo after structural relaxation at the PBE-GGA level of DFT.

The structure in CIF format:
```
data_Fe2SiMo
_chemical_formula_sum 'Fe6 Si3 Mo3'
_space_group_name_H-M_alt 'R 3 m'
_space_group_IT_number 160
_space_group_name_Hall 'R 3 -2"'
_cell_length_a 2.6951
_cell_length_b 2.6951
_cell_length_c 24.3050
_cell_angle_alpha 90.00
_cell_angle_beta 90.00
_cell_angle_gamma 120.00
loop_
_atom_site_label
_atom_site_type_symbol
_atom_site_fract_x
_atom_site_fract_y
_atom_site_fract_z
_atom_site_occupancy
Fe1 Fe 0.0000 0.0000 0.0000 1
Fe2 Fe 0.0000 0.0000 0.2544 1
Si1 Si 0.0000 0.0000 0.5124 1
Mo1 Mo 0.0000 0.0000 0.7553 1
```

**Density of states at the Fermi level**: 0.752 states/eV/atom
**Formation energy from raw total energies**: 88 meV/atom

=====

- Among the records above, which one has the highest density of states at the Fermi level?
  Ce2NO

=====

- Among the records above, which one has the highest density of states at the Fermi level?
  Ce2NO